A relaxed Ca2ZnFe crystal, computed with GGA-PBE.

Cell lengths 6.157, 6.157, 6.157 Å; angles 146.75, 131.76, 59.85 degrees
Atoms (fractional coordinates):
Ca 0.000 0.000 0.000
Ca 0.707 0.207 0.500
Zn 0.437 0.437 0.000
Fe 0.272 0.772 0.500

SG: No. 44
ΔE_f: 0.8 eV/f.u.
Final energy: -3.24 eV/atom